one.
The following is a PBE-GGA calculation of an optimized crystal structure of UGa3Co, from Alexandria via LeMat-Bulk.

The structure in extended XYZ format:
```
10
Lattice="5.5784 0.0000 0.0000 0.0035 5.7584 0.0000 0.4700 2.5014 5.2059" Properties=species:S:1:pos:R:3 pbc="T T T"
U 0.1828 2.5510 1.3304
U 5.8690 5.7088 3.8755
Ga 1.3691 2.8815 4.2968
Ga 3.0523 6.6422 5.1582
Ga 3.0242 1.2507 2.6030
Ga 3.0259 4.1299 2.6030
Ga 2.9995 1.6176 0.0477
Ga 4.6827 5.3783 0.9091
Co 1.3585 5.6268 1.5844
Co 4.6933 2.6330 3.6215
```

Values from the calculation:
Symmetry: P-1

two.
The following is a PBE-GGA calculation of an optimized crystal structure of UGa3Co, from Alexandria via LeMat-Bulk.

The structure in extended XYZ format:
```
20
Lattice="7.8371 0.0000 0.0000 0.0000 3.7008 0.0000 0.0000 0.0000 11.1406" Properties=species:S:1:pos:R:3 pbc="T T T"
U 0.9422 0.9252 0.0556
U 2.9763 2.7756 5.6260
U 4.8607 0.9252 5.5147
U 6.8948 2.7756 11.0850
Ga 0.4562 0.9252 4.7138
Ga 0.7228 2.7756 2.5721
Ga 1.2362 2.7756 8.6969
Ga 2.6823 0.9252 3.1265
Ga 3.1958 0.9252 8.1424
Ga 3.4623 2.7756 10.2841
Ga 4.3747 0.9252 0.8565
Ga 4.6413 2.7756 2.9982
Ga 5.1547 2.7756 8.0141
Ga 6.6009 0.9252 2.4438
Ga 7.1143 0.9252 8.5685
Ga 7.3808 2.7756 6.4268
Co 1.1302 0.9252 7.0324
Co 2.7883 2.7756 1.4621
Co 5.0487 0.9252 9.6785
Co 6.7068 2.7756 4.1082
```

Values from the calculation:
Symmetry: Pnma

Order of stability, best first: two, one

one.
The following is a PBE-GGA calculation of an optimized crystal structure of UGaCo4, from Alexandria via LeMat-Bulk.

The structure in extended XYZ format:
```
6
Lattice="4.3046 -1.6988 0.0000 4.3046 1.6988 0.0000 -2.6910 0.0000 5.3239" Properties=species:S:1:pos:R:3 pbc="T T T"
U 0.0000 0.0000 0.0000
Ga -1.3455 0.0000 2.6619
Co 2.1749 0.0000 1.0217
Co 1.1891 0.0000 3.5209
Co 4.7290 0.0000 1.8030
Co 3.7432 0.0000 4.3022
```

Values from the calculation:
Symmetry: C2/m

two.
The following is a PBE-GGA calculation of an optimized crystal structure of UGaCo4, from Alexandria via LeMat-Bulk.

The structure in extended XYZ format:
```
6
Lattice="0.0000 3.4160 3.4160 3.4160 0.0000 3.4160 3.4160 3.4160 0.0000" Properties=species:S:1:pos:R:3 pbc="T T T"
U 0.0000 0.0000 0.0000
Ga 5.1240 5.1240 5.1240
Co 2.5742 2.5742 2.5742
Co 4.2578 4.2578 2.5742
Co 4.2578 2.5742 4.2578
Co 2.5742 4.2578 4.2578
```

Values from the calculation:
Symmetry: F-43m

Order of stability, best first: two, one

one.
The following is a PBE-GGA calculation of an optimized crystal structure of VGaCo6, from Alexandria via LeMat-Bulk.

The structure in extended XYZ format:
```
8
Lattice="5.0597 0.0000 0.0000 0.0000 5.0597 0.0000 0.0000 0.0000 3.5270" Properties=species:S:1:pos:R:3 pbc="T T T"
V 0.0000 0.0000 0.0000
Ga 2.5299 2.5299 0.0000
Co 0.0000 2.5299 0.0000
Co 1.2417 1.2417 1.7635
Co 1.2417 3.8180 1.7635
Co 2.5299 0.0000 0.0000
Co 3.8180 1.2417 1.7635
Co 3.8180 3.8180 1.7635
```

Values from the calculation:
Symmetry: P4/mmm

two.
The following is a PBE-GGA calculation of an optimized crystal structure of VGaCo6, from Alexandria via LeMat-Bulk.

The structure in extended XYZ format:
```
8
Lattice="3.5956 -2.3481 0.0000 3.5956 2.3481 0.0000 -1.9372 0.0000 6.1148" Properties=species:S:1:pos:R:3 pbc="T T T"
V 0.0000 0.0000 0.0000
Ga 2.6271 0.0000 3.0574
Co 1.7310 1.2212 1.1864
Co 0.1584 0.0000 2.6700
Co 3.5231 1.2212 4.9284
Co 1.7310 -1.2212 1.1864
Co 5.0957 0.0000 3.4447
Co 3.5231 -1.2212 4.9284
```

Values from the calculation:
Symmetry: C2/m

Order of stability, best first: one, two

one.
The following is a PBE-GGA calculation of an optimized crystal structure of VGaCo3, from Alexandria via LeMat-Bulk.

The structure in extended XYZ format:
```
5
Lattice="4.2401 0.0000 0.0000 0.0000 4.2401 0.0000 0.0000 0.0000 4.2401" Properties=species:S:1:pos:R:3 pbc="T T T"
V 0.0000 0.0000 0.0000
Ga 2.1201 2.1201 2.1201
Co 0.0000 2.1201 2.1201
Co 2.1201 0.0000 2.1201
Co 2.1201 2.1201 0.0000
```

Values from the calculation:
Symmetry: Pm-3m

two.
The following is a PBE-GGA calculation of an optimized crystal structure of VGaCo3, from Alexandria via LeMat-Bulk.

The structure in extended XYZ format:
```
10
Lattice="3.0898 -4.6796 0.0000 3.0898 4.6796 0.0000 0.0000 0.0000 4.6785" Properties=species:S:1:pos:R:3 pbc="T T T"
V 3.0898 3.1678 3.5089
V 3.0898 -3.1678 1.1696
Ga 3.0898 0.0000 0.0000
Ga 3.0898 0.0000 2.3393
Co 1.1537 0.6945 3.5089
Co 1.1537 -0.6945 1.1696
Co 3.0898 2.0205 1.1696
Co 3.0898 -2.0205 3.5089
Co 5.0260 0.6945 3.5089
Co 5.0260 -0.6945 1.1696
```

Values from the calculation:
Symmetry: Cmcm

Order of stability, best first: two, one

one.
The following is a PBE-GGA calculation of an optimized crystal structure of VGa2Co2, from Alexandria via LeMat-Bulk.

The structure in extended XYZ format:
```
10
Lattice="6.8541 0.0000 0.0000 0.0000 6.8541 0.0000 0.0000 0.0000 2.7091" Properties=species:S:1:pos:R:3 pbc="T T T"
V 0.0000 0.0000 0.0000
V 3.4270 3.4270 0.0000
Ga 1.1319 2.2952 1.3545
Ga 2.2952 5.7222 1.3545
Ga 4.5589 1.1319 1.3545
Ga 5.7222 4.5589 1.3545
Co 0.9094 4.3365 0.0000
Co 2.5176 0.9094 0.0000
Co 4.3365 5.9446 0.0000
Co 5.9446 2.5176 0.0000
```

Values from the calculation:
Symmetry: P4/mbm

two.
The following is a PBE-GGA calculation of an optimized crystal structure of VGa2Co2, from Alexandria via LeMat-Bulk.

The structure in extended XYZ format:
```
10
Lattice="6.9187 0.0000 0.0000 0.0000 6.9187 0.0000 0.0000 0.0000 2.6621" Properties=species:S:1:pos:R:3 pbc="T T T"
V 0.0000 0.0000 0.0000
V 3.4594 3.4594 0.0000
Ga 0.9293 2.5301 0.0000
Ga 2.5301 5.9894 0.0000
Ga 4.3886 0.9293 0.0000
Ga 5.9894 4.3886 0.0000
Co 1.1443 4.6036 1.3310
Co 2.3151 1.1443 1.3310
Co 4.6036 5.7744 1.3310
Co 5.7744 2.3151 1.3310
```

Values from the calculation:
Symmetry: P4/mbm

Order of stability, best first: two, one

one.
The following is a PBE-GGA calculation of an optimized crystal structure of GaCo3W, from Alexandria via LeMat-Bulk.

The structure in extended XYZ format:
```
5
Lattice="4.1975 0.0000 0.0000 0.0000 4.1975 0.0000 0.0000 0.0000 4.1975" Properties=species:S:1:pos:R:3 pbc="T T T"
Ga 0.0000 0.0000 0.0000
Co 0.0000 0.0000 2.0988
Co 0.0000 2.0988 0.0000
Co 2.0988 0.0000 0.0000
W 2.0988 2.0988 2.0988
```

Values from the calculation:
Symmetry: Pm-3m

two.
The following is a PBE-GGA calculation of an optimized crystal structure of GaCo3W, from Alexandria via LeMat-Bulk.

The structure in extended XYZ format:
```
5
Lattice="4.4532 0.0000 0.0000 0.0000 4.4532 0.0000 0.0000 0.0000 4.4532" Properties=species:S:1:pos:R:3 pbc="T T T"
Ga 0.0000 0.0000 0.0000
Co 0.0000 2.2266 2.2266
Co 2.2266 0.0000 2.2266
Co 2.2266 2.2266 0.0000
W 2.2266 2.2266 2.2266
```

Values from the calculation:
Symmetry: Pm-3m

Order of stability, best first: one, two

one.
The following is a PBE-GGA calculation of an optimized crystal structure of Ga2Co2W, from Alexandria via LeMat-Bulk.

The structure in extended XYZ format:
```
10
Lattice="6.9207 0.0000 0.0000 0.0000 6.9207 0.0000 0.0000 0.0000 2.7209" Properties=species:S:1:pos:R:3 pbc="T T T"
Ga 1.1486 2.3118 0.0000
Ga 2.3118 5.7721 0.0000
Ga 4.6089 1.1486 0.0000
Ga 5.7721 4.6089 0.0000
Co 0.9022 4.3625 1.3604
Co 2.5582 0.9022 1.3604
Co 4.3625 6.0185 1.3604
Co 6.0185 2.5582 1.3604
W 0.0000 0.0000 1.3604
W 3.4604 3.4604 1.3604
```

Values from the calculation:
Symmetry: P4/mbm

two.
The following is a PBE-GGA calculation of an optimized crystal structure of Ga2Co2W, from Alexandria via LeMat-Bulk.

The structure in extended XYZ format:
```
10
Lattice="6.9506 0.0000 0.0000 0.0000 6.9506 0.0000 0.0000 0.0000 2.6884" Properties=species:S:1:pos:R:3 pbc="T T T"
Ga 0.9179 2.5574 0.0000
Ga 2.5574 6.0327 0.0000
Ga 4.3933 0.9179 0.0000
Ga 6.0327 4.3933 0.0000
Co 1.1627 4.6380 1.3442
Co 2.3126 1.1627 1.3442
Co 4.6380 5.7880 1.3442
Co 5.7880 2.3126 1.3442
W 0.0000 0.0000 0.0000
W 3.4753 3.4753 0.0000
```

Values from the calculation:
Symmetry: P4/mbm

Order of stability, best first: two, one

one.
The following is a PBE-GGA calculation of an optimized crystal structure of YGa3Co3, from Alexandria via LeMat-Bulk.

The structure in extended XYZ format:
```
14
Lattice="6.3827 0.0000 0.0000 0.0000 6.3827 0.0000 0.0000 0.0000 6.3827" Properties=species:S:1:pos:R:3 pbc="T T T"
Y 0.0000 0.0000 0.0000
Y 3.1914 3.1914 3.1914
Ga 0.0000 1.5957 3.1914
Ga 0.0000 4.7870 3.1914
Ga 1.5957 3.1914 0.0000
Ga 3.1914 0.0000 1.5957
Ga 3.1914 0.0000 4.7870
Ga 4.7870 3.1914 0.0000
Co 0.0000 3.1914 1.5957
Co 0.0000 3.1914 4.7870
Co 1.5957 0.0000 3.1914
Co 3.1914 1.5957 0.0000
Co 3.1914 4.7870 0.0000
Co 4.7870 0.0000 3.1914
```

Values from the calculation:
Symmetry: Pm-3n

two.
The following is a PBE-GGA calculation of an optimized crystal structure of YGa3Co3, from Alexandria via LeMat-Bulk.

The structure in extended XYZ format:
```
14
Lattice="7.8724 0.0000 0.0000 -3.9362 6.8177 0.0000 0.0000 0.0000 4.1679" Properties=species:S:1:pos:R:3 pbc="T T T"
Y 0.0000 4.5451 1.0420
Y 3.9362 2.2726 3.1259
Ga -0.9194 2.6373 3.1259
Ga -1.1925 6.2952 3.1259
Ga 1.8243 2.1149 1.0420
Ga 2.1119 4.7028 3.1259
Ga 5.1287 0.5225 1.0420
Ga 4.8555 4.1803 1.0420
Co -0.4801 1.3889 1.0420
Co -2.4933 6.5390 1.0420
Co 0.9628 1.1103 3.1259
Co 2.9734 5.7074 1.0420
Co 6.4295 0.2786 3.1259
Co 4.4163 5.4288 3.1259
```

Values from the calculation:
Symmetry: P6_3/m

Order of stability, best first: two, one